The following is a PBE calculation of crystalline FeSb6Ru at its relaxed geometry, from the Alexandria database.

Unit cell a=8.0589 b=8.0589 c=8.0484 alpha=109.47 beta=109.49 gamma=109.51
With the nearest neighbours (Å) after each atom.
Atoms (fractional coordinates):
1 Fe 0.0000 0.5000 0.0000  6 Sb 2.57-2.59
2 Fe 0.5000 0.0000 0.0000  6 Sb 2.57-2.59
3 Sb 0.1599 0.6670 0.8268  2 Fe 2.59
4 Sb 0.8401 0.3330 0.1732  2 Fe 2.59
5 Sb 0.8443 0.6629 0.5071  2 Ru 2.61
6 Sb 0.1557 0.3371 0.4929  2 Ru 2.61
7 Sb 0.8221 0.1619 0.6682  1 Fe 2.57, 1 Ru 2.64
8 Sb 0.1779 0.8381 0.3318  1 Fe 2.57, 1 Ru 2.64
9 Sb 0.5063 0.8461 0.6682  1 Fe 2.57, 1 Ru 2.64
10 Sb 0.4937 0.1539 0.3318  1 Fe 2.57, 1 Ru 2.64
11 Sb 0.6614 0.8228 0.1542  1 Fe 2.57, 1 Ru 2.63
12 Sb 0.3386 0.1772 0.8458  1 Fe 2.57, 1 Ru 2.63
13 Sb 0.6686 0.5072 0.8458  1 Fe 2.57, 1 Ru 2.63
14 Sb 0.3314 0.4928 0.1542  1 Fe 2.57, 1 Ru 2.63
15 Ru 0.0000 0.0000 0.5000  6 Sb 2.61-2.64
16 Ru 0.5000 0.5000 0.5000  6 Sb 2.61-2.64

Results
Crystal system = monoclinic
Energy relative to the elements, uncorrected = -0.079 eV/atom
Spin magnetization = 3.23 Bohr magnetons per cell